# MgIn2Br

MgIn2Br after structural relaxation (GGA-PBE, Alexandria).

Unit cell a=3.495 b=5.917 c=5.296 alpha=90.00 beta=90.00 gamma=90.00
Sites, in units of the cell vectors:
1 Mg 0.000 0.000 0.000
2 In 0.500 0.000 0.502
3 In 0.500 0.500 0.488
4 Br 0.000 0.500 0.993

Output
Total DFT energy (no corrections): -9.82 eV for the cell shown

***

# MgInBr3

MgInBr3 after structural relaxation (GGA-PBE, Alexandria).

Unit cell a=9.165 b=3.991 c=9.287 alpha=90.00 beta=103.10 gamma=90.00
Sites, in units of the cell vectors:
1 Mg 0.166 0.250 0.129
2 Mg 0.834 0.750 0.871
3 In 0.390 0.750 0.686
4 In 0.610 0.250 0.314
5 Br 0.028 0.250 0.836
6 Br 0.302 0.250 0.416
7 Br 0.348 0.750 0.080
8 Br 0.652 0.250 0.920
9 Br 0.698 0.750 0.584
10 Br 0.972 0.750 0.164

Output
Total DFT energy (no corrections): -29.95 eV for the cell shown

***

# MgInBr2

MgInBr2 after structural relaxation (GGA-PBE, Alexandria).

Unit cell a=5.453 b=5.453 c=5.453 alpha=60.00 beta=60.00 gamma=60.00
Sites, in units of the cell vectors:
1 Mg 0.000 0.000 0.000
2 In 0.250 0.250 0.250
3 Br 0.500 0.500 0.500
4 Br 0.750 0.750 0.750

Output
Total DFT energy (no corrections): -8.65 eV for the cell shown

***

# MgIn2Br

MgIn2Br after structural relaxation (GGA-PBE, Alexandria).

Unit cell a=6.651 b=6.651 c=6.651 alpha=149.00 beta=134.41 gamma=56.15
Sites, in units of the cell vectors:
1 Mg 0.000 0.000 0.000
2 In 0.222 0.722 0.500
3 In 0.778 0.278 0.500
4 Br 0.500 0.500 0.000

Output
Total DFT energy (no corrections): -9.53 eV for the cell shown

***

# MgInBr2

MgInBr2 after structural relaxation (GGA-PBE, Alexandria).

Unit cell a=6.951 b=6.951 c=6.951 alpha=106.00 beta=106.00 gamma=116.65
Sites, in units of the cell vectors:
1 Mg 0.000 0.000 0.000
2 Mg 0.750 0.250 0.500
3 In 0.250 0.750 0.500
4 In 0.500 0.500 0.000
5 Br 0.031 0.625 0.906
6 Br 0.375 0.281 0.406
7 Br 0.719 0.125 0.094
8 Br 0.875 0.969 0.594

Output
Total DFT energy (no corrections): -20.62 eV for the cell shown

***

# MgInBr2

MgInBr2 after structural relaxation (GGA-PBE, Alexandria).

Unit cell a=7.867 b=7.867 c=7.867 alpha=153.70 beta=145.13 gamma=44.20
Sites, in units of the cell vectors:
1 Mg 0.000 0.000 0.000
2 In 0.796 0.296 0.500
3 Br 0.133 0.633 0.500
4 Br 0.444 0.444 0.000

Output
Total DFT energy (no corrections): -10.46 eV for the cell shown

***

# MgInBr2

MgInBr2 after structural relaxation (GGA-PBE, Alexandria).

Unit cell a=4.544 b=4.567 c=6.413 alpha=90.00 beta=90.41 gamma=90.00
Sites, in units of the cell vectors:
1 Mg 0.000 0.000 0.000
2 In 0.500 0.500 0.500
3 Br 0.000 0.000 0.500
4 Br 0.500 0.500 0.000

Output
Total DFT energy (no corrections): -9.82 eV for the cell shown

***

# MgInBr2

MgInBr2 after structural relaxation (GGA-PBE, Alexandria).

Unit cell a=7.304 b=7.304 c=7.304 alpha=145.20 beta=145.20 gamma=50.03
Sites, in units of the cell vectors:
1 Mg 0.000 0.000 0.000
2 In 0.750 0.250 0.500
3 Br 0.250 0.750 0.500
4 Br 0.500 0.500 0.000

Output
Total DFT energy (no corrections): -9.56 eV for the cell shown

***

# MgIn2Br

MgIn2Br after structural relaxation (GGA-PBE, Alexandria).

Unit cell a=5.459 b=5.459 c=5.459 alpha=60.00 beta=60.00 gamma=60.00
Sites, in units of the cell vectors:
1 Mg 0.000 0.000 0.000
2 In 0.250 0.250 0.250
3 In 0.750 0.750 0.750
4 Br 0.500 0.500 0.500

Output
Total DFT energy (no corrections): -8.87 eV for the cell shown

***

# Mg5In3Br12

Mg5In3Br12 after structural relaxation (GGA-PBE, Alexandria).

Unit cell a=15.115 b=15.115 c=15.115 alpha=109.47 beta=109.47 gamma=109.47
Sites, in units of the cell vectors:
1 Mg 0.000 0.000 0.000
2 Mg 0.000 0.000 0.500
3 Mg 0.000 0.500 0.000
4 Mg 0.000 0.500 0.500
5 Mg 0.125 0.750 0.875
6 Mg 0.125 0.875 0.250
7 Mg 0.250 0.125 0.875
8 Mg 0.250 0.625 0.375
9 Mg 0.375 0.250 0.625
10 Mg 0.375 0.625 0.750
11 Mg 0.500 0.000 0.000
12 Mg 0.500 0.000 0.500
13 Mg 0.500 0.500 0.000
14 Mg 0.500 0.500 0.500
15 Mg 0.625 0.375 0.250
16 Mg 0.625 0.750 0.375
17 Mg 0.750 0.375 0.625
18 Mg 0.750 0.875 0.125
19 Mg 0.875 0.125 0.750
20 Mg 0.875 0.250 0.125
21 In 0.125 0.250 0.375
22 In 0.125 0.375 0.750
23 In 0.250 0.375 0.125
24 In 0.250 0.875 0.625
25 In 0.375 0.125 0.250
26 In 0.375 0.750 0.125
27 In 0.625 0.250 0.875
28 In 0.625 0.875 0.750
29 In 0.750 0.125 0.375
30 In 0.750 0.625 0.875
31 In 0.875 0.625 0.250
32 In 0.875 0.750 0.625
33 Br 0.017 0.197 0.111
34 Br 0.017 0.320 0.906
35 Br 0.086 0.697 0.680
36 Br 0.086 0.889 0.406
37 Br 0.094 0.611 0.414
38 Br 0.094 0.983 0.680
39 Br 0.111 0.017 0.197
40 Br 0.111 0.594 0.914
41 Br 0.180 0.197 0.586
42 Br 0.180 0.483 0.594
43 Br 0.197 0.111 0.017
44 Br 0.197 0.586 0.180
45 Br 0.303 0.320 0.914
46 Br 0.303 0.483 0.389
47 Br 0.320 0.906 0.017
48 Br 0.320 0.914 0.303
49 Br 0.389 0.303 0.483
50 Br 0.389 0.586 0.906
51 Br 0.406 0.086 0.889
52 Br 0.406 0.820 0.517
53 Br 0.414 0.094 0.611
54 Br 0.414 0.820 0.803
55 Br 0.483 0.389 0.303
56 Br 0.483 0.594 0.180
57 Br 0.517 0.406 0.820
58 Br 0.517 0.611 0.697
59 Br 0.586 0.180 0.197
60 Br 0.586 0.906 0.389
61 Br 0.594 0.180 0.483
62 Br 0.594 0.914 0.111
63 Br 0.611 0.414 0.094
64 Br 0.611 0.697 0.517
65 Br 0.680 0.086 0.697
66 Br 0.680 0.094 0.983
67 Br 0.697 0.517 0.611
68 Br 0.697 0.680 0.086
69 Br 0.803 0.414 0.820
70 Br 0.803 0.889 0.983
71 Br 0.820 0.517 0.406
72 Br 0.820 0.803 0.414
73 Br 0.889 0.406 0.086
74 Br 0.889 0.983 0.803
75 Br 0.906 0.017 0.320
76 Br 0.906 0.389 0.586
77 Br 0.914 0.111 0.594
78 Br 0.914 0.303 0.320
79 Br 0.983 0.680 0.094
80 Br 0.983 0.803 0.889

Output
Total DFT energy (no corrections): -232.74 eV for the cell shown

***

# Mg2InBr

Mg2InBr after structural relaxation (GGA-PBE, Alexandria).

Unit cell a=3.535 b=3.535 c=7.942 alpha=90.00 beta=90.00 gamma=95.08
Sites, in units of the cell vectors:
1 Mg 0.000 0.000 0.234
2 Mg 0.000 0.000 0.766
3 In 0.500 0.500 0.000
4 Br 0.500 0.500 0.500

Output
Total DFT energy (no corrections): -8.88 eV for the cell shown

***

# Mg2InBr

Mg2InBr after structural relaxation (GGA-PBE, Alexandria).

Unit cell a=3.686 b=3.587 c=7.808 alpha=90.00 beta=90.07 gamma=90.00
Sites, in units of the cell vectors:
1 Mg 0.001 0.000 0.219
2 Mg 0.999 0.000 0.781
3 In 0.500 0.500 0.000
4 Br 0.000 0.500 0.500

Output
Total DFT energy (no corrections): -9.30 eV for the cell shown

***

Copy entry 3 word for word.
# MgInBr2

MgInBr2 after structural relaxation (GGA-PBE, Alexandria).

Unit cell a=5.453 b=5.453 c=5.453 alpha=60.00 beta=60.00 gamma=60.00
Sites, in units of the cell vectors:
1 Mg 0.000 0.000 0.000
2 In 0.250 0.250 0.250
3 Br 0.500 0.500 0.500
4 Br 0.750 0.750 0.750

Output
Total DFT energy (no corrections): -8.65 eV for the cell shown